Compound: SrErAu
Source: Alexandria via LeMat-Bulk
Functional: PBE
Structure: optimized geometry

Geometry as extended XYZ:
```
3
Lattice="3.7472 0.0000 0.0000 0.0000 3.7472 0.0000 -1.8736 -1.8736 6.5918" Properties=species:S:1:pos:R:3 pbc="T T T"
Au 1.8736 1.8736 2.5064
Sr 0.0000 0.0000 0.2643
Er 0.0000 0.0000 3.8211
```

Computed properties:
Space group   No. 107
Calculated total energy   -3.6881 eV per atom
Total magnetic moment   0.00 μB/cell
D(E_F)   0.63 states/eV per atom
Theoretical density   8.1 Mg/m³